Entry 1:
Below is an optimized crystal structure of SmScBe, with properties calculated at the PBE level.

```
SmScBe
1.0
-0.962 -1.629 2.795
-0.227 -2.875 -1.754
6.179 1.061 0.708
Be Sm Sc
1 1 1
Cartesian
1.456 -2.689 0.972
0.242 -0.052 0.053
3.292 -0.702 0.724
```

Energy: -14.52 eV per cell
Formation enthalpy at 0 K: 0.0858 eV per atom
Calculated volume: 22.18 A^3/atom
DOS(E_F): 2.4 states/eV/cell
Magnetic moment: 0.00 μB per formula unit

=====

Entry 2:
Below is an optimized crystal structure of SrGa2NiHg, with properties calculated at the PBE level.

```
SrGa2NiHg
1.0
-0.230 0.174 -4.657
-1.102 -4.532 -0.115
-5.518 1.333 0.323
Ga Ni Hg Sr
2 1 1 1
Cartesian
-0.551 -2.266 -0.058
-0.115 0.087 -2.328
0.000 0.000 0.000
-3.425 -1.513 -2.225
-2.759 0.666 0.161
```

Energy: -15.06 eV per cell
Formation enthalpy at 0 K: -0.2480 eV per atom
Calculated volume: 24.76 A^3/atom
DOS(E_F): 2.5 states/eV/cell
Magnetic moment: 0.00 μB per formula unit
Polymorph energy (0 for the lowest one): 1.082 kcal/mol of atoms

=====

Entry 3:
Below is an optimized crystal structure of SrCa4Rh, with properties calculated at the PBE level.

```
SrCa4Rh
1.0
6.373 0.184 -1.290
-2.214 7.980 -2.380
0.230 0.369 8.606
Ca Rh Sr
8 2 2
Cartesian
1.196 5.968 -1.846
-1.656 7.651 -0.046
6.044 0.882 4.982
0.053 2.575 0.265
0.711 7.232 3.345
3.193 2.566 6.782
3.678 1.301 1.591
4.336 5.959 4.671
1.821 0.420 8.277
2.567 8.114 -3.342
0.854 3.434 3.927
3.535 5.100 1.009
```

Energy: -36.15 eV per cell
Formation enthalpy at 0 K: -0.1725 eV per atom
Calculated volume: 37.51 A^3/atom
DOS(E_F): 9.9 states/eV/cell
Magnetic moment: 0.00 μB per formula unit
Polymorph energy (0 for the lowest one): 0.367 kcal/mol of atoms

=====

Entry 4:
Below is an optimized crystal structure of HfCd3Ge, with properties calculated at the PBE level.

```
HfCd3Ge
1.0
5.069 0.000 0.000
0.000 5.069 0.000
0.000 0.000 5.069
Hf Cd Ge
1 3 1
Cartesian
2.535 2.535 2.535
0.000 0.000 2.535
0.000 2.535 0.000
2.535 0.000 0.000
0.000 0.000 0.000
```

Energy: -13.25 eV per cell
Formation enthalpy at 0 K: 0.8128 eV per atom
Calculated volume: 26.06 A^3/atom
DOS(E_F): 1.7 states/eV/cell
Magnetic moment: 0.00 μB per formula unit
Polymorph energy (0 for the lowest one): 0.000 kcal/mol of atoms

=====

Entry 5:
Below is an optimized crystal structure of LiInCl2, with properties calculated at the PBE level.

```
LiInCl2
1.0
2.102 0.000 8.207
-1.051 1.820 8.207
-1.051 -1.820 8.207
Li Cl In
1 2 1
Cartesian
0.000 0.000 12.311
0.000 0.000 21.932
0.000 0.000 2.690
0.000 0.000 0.000
```

Energy: -12.84 eV per cell
Uncorrected formation energy: -4.49 eV per formula unit
Calculated volume: 23.55 A^3/atom
DOS(E_F): 0.3 states/eV/cell
Magnetic moment: 0.00 μB per formula unit
Polymorph energy (0 for the lowest one): 4.210 kcal/mol of atoms

=====

Entry 6:
Below is an optimized crystal structure of PrHoZnPd, with properties calculated at the PBE level.

```
PrHoZnPd
1.0
-2.533 -4.222 1.337
2.383 -3.691 2.595
-1.162 -0.834 4.897
Zn Ho Pr Pd
1 1 1 1
Cartesian
0.000 0.000 0.000
-0.985 -6.560 6.622
-0.328 -2.187 2.207
-0.656 -4.373 4.415
```

Energy: -17.95 eV per cell
Formation enthalpy at 0 K: -0.5325 eV per atom
Calculated volume: 23.48 A^3/atom
DOS(E_F): 3.2 states/eV/cell
Magnetic moment: 0.00 μB per formula unit
Polymorph energy (0 for the lowest one): 0.932 kcal/mol of atoms

=====

Entry 7:
Below is an optimized crystal structure of Sc2BeGeC, with properties calculated at the PBE level.

```
Sc2BeGeC
1.0
3.471 0.000 0.000
0.000 6.117 0.130
0.000 -2.470 7.113
Sc Ge C Be
4 2 2 2
Cartesian
0.868 0.244 2.712
2.603 4.781 0.314
2.603 3.403 4.531
0.868 -1.133 6.929
0.868 3.528 2.249
2.603 0.120 4.994
0.868 3.039 5.998
2.603 0.608 1.245
2.603 2.176 1.813
0.868 1.471 5.430
```

Energy: -66.39 eV per cell
Formation enthalpy at 0 K: -0.5929 eV per atom
Calculated volume: 15.22 A^3/atom
DOS(E_F): 2.5 states/eV/cell
Magnetic moment: 0.00 μB per formula unit
Polymorph energy (0 for the lowest one): 0.000 kcal/mol of atoms

=====

Entry 8:
Below is an optimized crystal structure of BaLiTmO3, with properties calculated at the PBE level.

```
BaLiTmO3
1.0
5.998 0.000 0.000
-2.999 5.195 0.000
0.000 0.000 6.048
O Li Tm Ba
6 2 2 2
Cartesian
1.561 4.364 1.512
2.999 3.534 4.536
1.439 0.831 4.536
0.000 1.661 1.512
-1.561 4.364 1.512
4.560 0.831 4.536
2.999 1.732 4.536
0.000 3.463 1.512
0.000 0.000 3.024
0.000 0.000 0.000
2.999 1.732 1.512
0.000 3.463 4.536
```

Energy: -78.87 eV per cell
Uncorrected formation energy: -16.25 eV per formula unit
Calculated volume: 15.71 A^3/atom
DOS(E_F): 0.0 states/eV/cell
Magnetic moment: 0.00 μB per formula unit

=====

Entry 9:
Below is an optimized crystal structure of BeH3N, with properties calculated at the PBE level.

```
BeH3N
1.0
3.021 0.000 0.000
0.000 3.021 0.000
0.000 0.000 3.021
H N Be
3 1 1
Cartesian
0.000 0.000 1.510
0.000 1.510 0.000
1.510 0.000 0.000
0.000 0.000 0.000
1.510 1.510 1.510
```

Energy: -15.69 eV per cell
Calculated volume: 5.51 A^3/atom
DOS(E_F): 1.1 states/eV/cell
Magnetic moment: 0.00 μB per formula unit
Polymorph energy (0 for the lowest one): 0.000 kcal/mol of atoms

=====

Entry 10:
Below is an optimized crystal structure of Nd2CuP, with properties calculated at the PBE level.

```
Nd2CuP
1.0
4.073 0.000 0.000
2.036 3.527 0.000
2.036 1.176 7.214
P Cu Nd
1 1 2
Cartesian
4.073 2.351 0.014
4.073 2.351 3.603
2.036 1.176 5.554
2.036 1.176 1.650
```

Energy: -21.93 eV per cell
Formation enthalpy at 0 K: -0.7218 eV per atom
Calculated volume: 25.91 A^3/atom
DOS(E_F): 2.1 states/eV/cell
Magnetic moment: 0.00 μB per formula unit

=====

Entry 11:
Below is an optimized crystal structure of LaSm2VN4, with properties calculated at the PBE level.

```
LaSm2VN4
1.0
-2.922 0.867 1.650
1.819 -5.461 2.451
6.448 5.885 8.328
La N Sm V
2 8 4 2
Cartesian
4.895 3.584 6.787
0.450 -2.294 5.642
5.134 0.218 8.979
2.769 1.781 7.609
1.028 -1.903 2.821
0.210 1.072 3.449
0.000 0.000 0.000
4.316 3.194 9.608
3.224 2.942 4.164
2.575 -0.491 4.820
3.762 -0.524 6.940
-1.094 -0.627 2.033
1.582 1.815 5.489
6.438 1.917 10.396
1.739 -0.310 3.242
3.606 1.600 9.186
```

Energy: -133.97 eV per cell
Uncorrected formation energy: -10.20 eV per formula unit
Calculated volume: 15.71 A^3/atom
DOS(E_F): 7.0 states/eV/cell
Magnetic moment: 0.00 μB per formula unit